## Ni2HgP (PBE-GGA)

Data for a relaxed structure of Ni2HgP.

Lattice parameters (Å, degrees): 4.0312 3.0276 4.9776 90.00 96.20 90.00
Closest atoms and distances in Å follow each position.
Space group P2/m (No. 10)
Symmetry-distinct sites (fractional):
Ni 0.0000 0.0000 0.0000  2 Hg 2.49, 4 P 2.52
Ni 0.5000 0.5000 0.5000  2 P 2.49, 4 Hg 2.52
Hg 0.0000 0.0000 0.5000  6 Ni 2.49-2.52
P 0.5000 0.5000 0.0000  6 Ni 2.49-2.52

Computed properties:
Energy of formation from the pure elements in eV per atom: 0.266